No. 1
Density functional theory data (PBE) for a geometry-optimized YZr2Sb structure.

* density: 6.41 Mg/m³
* D(E_F): 1.036 states/eV/atom
* uncorrected formation energy: -1.487 eV/f.u.

Cell: 4.6349 3.8472 11.4303 Å, 90.00 90.00 90.00°
With the nearest neighbours (Å) after each atom.
Space group Amm2 (No. 38)
Inequivalent atoms, fractional coordinates:
Y: 0.0000 0.0000 0.0000  3 Zr 3.04-3.29, 4 Sb 3.13
Zr: 0.0000 0.0000 0.2663  2 Sb 2.95, 3 Y 3.04-3.29, 4 Zr 3.08
Zr: 0.5000 0.0000 0.7090  4 Zr 3.08, 3 Sb 3.14-3.23
Sb: 0.5000 0.0000 0.4261  5 Zr 2.95-3.23, 4 Y 3.13

No. 2
Density functional theory data (PBE) for a geometry-optimized YZrSb2 structure.

* density: 6.46 Mg/m³
* D(E_F): 0.462 states/eV/atom
* uncorrected formation energy: -3.294 eV/f.u.

Cell: 4.2536 4.2536 6.0187 Å, 90.00 90.00 90.00°
With the nearest neighbours (Å) after each atom.
Space group P4/mmm (No. 123)
Inequivalent atoms, fractional coordinates:
Y: 0.0000 0.0000 0.0000  6 Sb 3.01
Zr: 0.5000 0.5000 0.5000  6 Sb 3.01
Sb: 0.0000 0.0000 0.5000  4 Zr 3.01, 2 Y 3.01
Sb: 0.5000 0.5000 0.0000  4 Y 3.01, 2 Zr 3.01

> Number 1 is which compound?

YZr2Sb